(1)
Crystalline Nd7DySc2 at its relaxed geometry, computed with PBE-GGA.

Computed properties:
formation energy from the elements: 5.97 eV per formula unit
E_tot: -4.47 eV/atom
crystal system: orthorhombic

a b c (Å): 9.019 15.507 5.605
angles (deg): 90.00 90.00 90.00
Space group Cmmm (No. 65)
Symmetry-distinct sites (fractional):
Nd: 0.000 0.000 0.000 (multiplicity 2)
Nd: 0.000 0.253 0.500 (multiplicity 4)
Nd: 0.183 0.379 0.000 (multiplicity 8)
Dy: 0.000 0.500 0.500 (multiplicity 2)
Sc: 0.000 0.203 0.000 (multiplicity 4)

(2)
Crystalline Nd2Dy5Sc at its relaxed geometry, computed with PBE-GGA.

Computed properties:
formation energy from the elements: 0.28 eV per formula unit
E_tot: -4.82 eV/atom
crystal system: triclinic

a b c (Å): 5.030 6.128 9.367
angles (deg): 77.55 74.43 65.86
Space group P-1 (No. 2)
Symmetry-distinct sites (fractional):
Nd: 0.001 0.245 0.253 (multiplicity 2)
Dy: 0.250 0.622 0.378 (multiplicity 2)
Dy: 0.252 0.126 0.871 (multiplicity 2)
Dy: 0.500 0.500 0.000 (multiplicity 1)
Sc: 0.500 0.000 0.500 (multiplicity 1)

(3)
Crystalline Nd6Dy5Sc2 at its relaxed geometry, computed with PBE-GGA.

Computed properties:
formation energy from the elements: 1.96 eV per formula unit
E_tot: -4.79 eV/atom
crystal system: orthorhombic

a b c (Å): 10.852 22.550 3.501
angles (deg): 90.00 90.00 90.00
Space group Pbam (No. 55)
Symmetry-distinct sites (fractional):
Nd: 0.034 0.113 0.000 (multiplicity 4)
Nd: 0.137 0.384 0.000 (multiplicity 4)
Nd: 0.165 0.640 0.500 (multiplicity 4)
Dy: 0.000 0.500 0.500 (multiplicity 2)
Dy: 0.086 0.249 0.500 (multiplicity 4)
Dy: 0.165 0.991 0.500 (multiplicity 4)
Sc: 0.165 0.774 0.000 (multiplicity 4)

(4)
Crystalline Nd4Dy7Sc at its relaxed geometry, computed with PBE-GGA.

Computed properties:
formation energy from the elements: 2.28 eV per formula unit
E_tot: -4.61 eV/atom
crystal system: monoclinic

a b c (Å): 11.445 5.344 13.206
angles (deg): 90.00 104.43 90.00
Space group C2/m (No. 12)
Symmetry-distinct sites (fractional):
Nd: 0.037 0.000 0.283 (multiplicity 4)
Nd: 0.179 0.500 0.763 (multiplicity 4)
Dy: 0.000 0.500 0.500 (multiplicity 2)
Dy: 0.088 0.500 0.129 (multiplicity 4)
Dy: 0.138 0.000 0.966 (multiplicity 4)
Dy: 0.233 0.500 0.399 (multiplicity 4)
Sc: 0.000 0.000 0.500 (multiplicity 2)

(5)
Crystalline NdDy3Sc6 at its relaxed geometry, computed with PBE-GGA.

Computed properties:
formation energy from the elements: 1.58 eV per formula unit
E_tot: -5.50 eV/atom
crystal system: orthorhombic
energy above the most stable polymorph in this dataset: 0.0 kJ/mol of atoms

a b c (Å): 10.478 17.930 5.890
angles (deg): 90.00 90.00 90.00
Space group Cmc2_1 (No. 36)
Symmetry-distinct sites (fractional):
Nd: 0.000 0.215 0.000 (multiplicity 4)
Dy: 0.000 0.400 0.883 (multiplicity 4)
Dy: 0.179 0.104 0.285 (multiplicity 8)
Sc: 0.000 0.050 0.747 (multiplicity 4)
Sc: 0.000 0.300 0.446 (multiplicity 4)
Sc: 0.174 0.445 0.325 (multiplicity 8)
Sc: 0.231 0.217 0.676 (multiplicity 8)

(6)
Crystalline Nd5DySc3 at its relaxed geometry, computed with PBE-GGA.

Computed properties:
formation energy from the elements: 4.22 eV per formula unit
E_tot: -4.80 eV/atom
crystal system: monoclinic

a b c (Å): 11.380 11.467 10.258
angles (deg): 90.00 107.18 90.00
Space group C2/m (No. 12)
Symmetry-distinct sites (fractional):
Nd: 0.000 0.246 0.000 (multiplicity 4)
Nd: 0.030 0.243 0.345 (multiplicity 8)
Nd: 0.240 0.500 0.580 (multiplicity 4)
Nd: 0.249 0.500 0.915 (multiplicity 4)
Dy: 0.247 0.000 0.748 (multiplicity 4)
Sc: 0.000 0.000 0.500 (multiplicity 2)
Sc: 0.000 0.500 0.000 (multiplicity 2)
Sc: 0.001 0.000 0.166 (multiplicity 4)
Sc: 0.001 0.500 0.673 (multiplicity 4)

(7)
Crystalline Nd4Dy5Sc at its relaxed geometry, computed with PBE-GGA.

Computed properties:
formation energy from the elements: 2.14 eV per formula unit
E_tot: -4.63 eV/atom
crystal system: tetragonal
energy above the most stable polymorph in this dataset: 9.6 kJ/mol of atoms

a b c (Å): 10.657 10.657 5.883
angles (deg): 90.00 90.00 90.00
Space group I4mm (No. 107)
Symmetry-distinct sites (fractional):
Nd: 0.000 0.322 0.000 (multiplicity 8)
Dy: 0.000 0.000 0.237 (multiplicity 2)
Dy: 0.186 0.186 0.522 (multiplicity 8)
Sc: 0.000 0.000 0.764 (multiplicity 2)

(8)
Crystalline Nd4DySc at its relaxed geometry, computed with PBE-GGA.

Computed properties:
formation energy from the elements: 0.21 eV per formula unit
E_tot: -4.97 eV/atom
crystal system: monoclinic
energy above the most stable polymorph in this dataset: 0.0 kJ/mol of atoms

a b c (Å): 6.219 10.724 6.215
angles (deg): 90.00 109.17 90.00
Space group C2/m (No. 12)
Symmetry-distinct sites (fractional):
Nd: 0.000 0.163 0.000 (multiplicity 4)
Nd: 0.000 0.334 0.500 (multiplicity 4)
Dy: 0.000 0.500 0.000 (multiplicity 2)
Sc: 0.000 0.000 0.500 (multiplicity 2)

(9)
Crystalline Nd7Dy3Sc at its relaxed geometry, computed with PBE-GGA.

Computed properties:
formation energy from the elements: 0.99 eV per formula unit
E_tot: -4.77 eV/atom
crystal system: triclinic
energy above the most stable polymorph in this dataset: 0.0 kJ/mol of atoms

a b c (Å): 6.567 9.907 12.214
angles (deg): 99.94 104.45 102.97
Space group P1 (No. 1)
Symmetry-distinct sites (fractional):
Nd: 0.000 0.000 0.000 (multiplicity 1)
Nd: 0.015 0.398 0.532 (multiplicity 1)
Nd: 0.157 0.841 0.208 (multiplicity 1)
Nd: 0.240 0.372 0.820 (multiplicity 1)
Nd: 0.269 0.521 0.211 (multiplicity 1)
Nd: 0.354 0.053 0.821 (multiplicity 1)
Nd: 0.496 0.246 0.133 (multiplicity 1)
Nd: 0.500 0.500 0.500 (multiplicity 1)
Nd: 0.515 0.898 0.032 (multiplicity 1)
Nd: 0.657 0.341 0.708 (multiplicity 1)
Nd: 0.740 0.872 0.320 (multiplicity 1)
Nd: 0.770 0.021 0.711 (multiplicity 1)
Nd: 0.854 0.553 0.321 (multiplicity 1)
Nd: 0.996 0.746 0.634 (multiplicity 1)
Dy: 0.025 0.648 0.901 (multiplicity 1)
Dy: 0.134 0.091 0.546 (multiplicity 1)
Dy: 0.372 0.810 0.483 (multiplicity 1)
Dy: 0.524 0.149 0.400 (multiplicity 1)
Dy: 0.634 0.591 0.046 (multiplicity 1)
Dy: 0.872 0.310 0.983 (multiplicity 1)
Sc: 0.009 0.197 0.268 (multiplicity 1)
Sc: 0.510 0.697 0.768 (multiplicity 1)

(10)
Crystalline Nd2Dy4Sc3 at its relaxed geometry, computed with PBE-GGA.

Computed properties:
formation energy from the elements: 0.60 eV per formula unit
E_tot: -5.15 eV/atom
crystal system: trigonal
energy above the most stable polymorph in this dataset: 0.0 kJ/mol of atoms

a b c (Å): 3.5088 3.5088 25.5711
angles (deg): 90.00 90.00 120.00
Space group P3m1 (No. 156)
Symmetry-distinct sites (fractional):
Nd: 0.0000 0.0000 0.0000 (multiplicity 1)
Nd: 0.0000 0.0000 0.2143 (multiplicity 1)
Dy: 0.0000 0.0000 0.3530 (multiplicity 1)
Dy: 0.0000 0.0000 0.5595 (multiplicity 1)
Dy: 0.3333 0.6667 0.6733 (multiplicity 1)
Dy: 0.3333 0.6667 0.8811 (multiplicity 1)
Sc: 0.0000 0.0000 0.7775 (multiplicity 1)
Sc: 0.3333 0.6667 0.1087 (multiplicity 1)
Sc: 0.3333 0.6667 0.4552 (multiplicity 1)

(11)
Crystalline NdDy4Sc3 at its relaxed geometry, computed with PBE-GGA.

Computed properties:
formation energy from the elements: 0.28 eV per formula unit
E_tot: -5.24 eV/atom
crystal system: orthorhombic
energy above the most stable polymorph in this dataset: 0.0 kJ/mol of atoms

a b c (Å): 10.968 7.061 6.077
angles (deg): 90.00 90.00 90.00
Space group Pmn2_1 (No. 31)
Symmetry-distinct sites (fractional):
Nd: 0.000 0.118 0.000 (multiplicity 2)
Dy: 0.000 0.370 0.504 (multiplicity 2)
Dy: 0.000 0.632 0.010 (multiplicity 2)
Dy: 0.245 0.631 0.665 (multiplicity 4)
Sc: 0.000 0.878 0.499 (multiplicity 2)
Sc: 0.249 0.120 0.671 (multiplicity 4)

(12)
Crystalline Nd12Dy2Sc at its relaxed geometry, computed with PBE-GGA.

Computed properties:
formation energy from the elements: 2.47 eV per formula unit
E_tot: -4.69 eV/atom
crystal system: orthorhombic

a b c (Å): 7.214 11.594 24.892
angles (deg): 90.00 90.00 90.00
Space group Cmme (No. 67)
Symmetry-distinct sites (fractional):
Nd: 0.000 0.002 0.071 (multiplicity 8)
Nd: 0.000 0.024 0.561 (multiplicity 8)
Nd: 0.230 0.250 0.414 (multiplicity 8)
Nd: 0.248 0.250 0.875 (multiplicity 8)
Nd: 0.250 0.000 0.196 (multiplicity 8)
Nd: 0.250 0.000 0.323 (multiplicity 8)
Dy: 0.000 0.250 0.264 (multiplicity 4)
Dy: 0.000 0.250 0.731 (multiplicity 4)
Sc: 0.000 0.250 0.999 (multiplicity 4)